Record 1
InSbPt2 | GGA-PBE | optimized geometry

abc: 4.797 4.797 4.797
angles: 60.00 60.00 60.00
Element x y z (fractional)
1 In 0.000 0.000 0.000
2 Sb 0.250 0.250 0.250
3 Pt 0.500 0.500 0.500
4 Pt 0.750 0.750 0.750

- spin magnetization (Bohr magnetons per cell) = 0.000
- E (eV per cell) = -18.68
- energy relative to the elements, uncorrected (kJ/mol of atoms) = 6.3
- volume (Å³/atom) = 19.5



Record 2
PO | GGA-PBE | optimized geometry

abc: 6.887 6.887 6.887
angles: 91.91 91.91 158.98
Element x y z (fractional)
1 P 0.062 0.822 0.884
2 P 0.178 0.062 0.239
3 P 0.822 0.938 0.761
4 P 0.938 0.178 0.116
5 O 0.207 0.395 0.602
6 O 0.395 0.793 0.188
7 O 0.605 0.207 0.812
8 O 0.793 0.605 0.398

- spin magnetization (Bohr magnetons per cell) = 0.000
- E (eV per cell) = -46.43
- energy relative to the elements, uncorrected (kJ/mol of atoms) = -59.8
- distance to the lowest polymorph of the same formula (meV per atom) = 451
- volume (Å³/atom) = 14.4



Record 3
Gd2CoAu | GGA-PBE | optimized geometry

abc: 3.458 3.458 7.284
angles: 90.00 90.00 90.00
Element x y z (fractional)
1 Gd 0.000 0.000 0.230
2 Gd 0.000 0.000 0.770
3 Co 0.500 0.500 0.000
4 Au 0.500 0.500 0.500

- spin magnetization (Bohr magnetons per cell) = 13.573
- E (eV per cell) = -40.35
- volume (Å³/atom) = 21.8



no.,density of states at the Fermi level (states/eV/f.u.)
1,3.18
2,0.74
3,4.22